1.
{
  "formula": "CrCoBr2",
  "functional": "GGA-PBE",
  "state": "optimized geometry",
  "space_group": "Fm-3m (225)",
  "raw_formation_energy_kcal_per_mol_atoms": 13.203,
  "final_energy_ha_per_atom": -0.1634,
  "lattice": [[-1.351, -2.611, 3.787], [-0.561, -4.741, -0.435], [3.117, -2.984, 2.089]],
  "species": ["Co", "Cr", "Br", "Br"],
  "fractional_positions": [[0.000, 0.000, 0.000], [0.500, 0.500, 0.500], [0.250, 0.250, 0.250], [0.750, 0.750, 0.750]]
}

---

2.
{
  "formula": "CrCoBr2",
  "functional": "GGA-PBE",
  "state": "optimized geometry",
  "space_group": "Cmm2 (35)",
  "raw_formation_energy_kcal_per_mol_atoms": 4.318,
  "final_energy_ha_per_atom": -0.1776,
  "lattice": [[3.518, 0.044, 0.000], [-0.783, 3.430, 0.000], [0.000, 0.000, 7.395]],
  "species": ["Br", "Br", "Cr", "Co"],
  "fractional_positions": [[0.500, 0.500, 0.361], [0.000, 0.000, 0.887], [0.500, 0.500, 0.702], [0.000, 0.000, 0.550]]
}

---

3.
{
  "formula": "CrCoBr2",
  "functional": "GGA-PBE",
  "state": "optimized geometry",
  "space_group": "P4/mmm (123)",
  "raw_formation_energy_kcal_per_mol_atoms": 13.955,
  "final_energy_ha_per_atom": -0.1622,
  "lattice": [[3.427, 0.000, 0.000], [0.000, 3.428, 0.000], [0.000, 0.000, 6.769]],
  "species": ["Br", "Br", "Cr", "Co"],
  "fractional_positions": [[0.000, 0.000, 0.490], [0.000, 0.000, 0.010], [0.500, 0.500, 0.750], [0.500, 0.500, 0.250]]
}

---

4.
{
  "formula": "CrCoBr2",
  "functional": "GGA-PBE",
  "state": "optimized geometry",
  "space_group": "R-3m (166)",
  "raw_formation_energy_kcal_per_mol_atoms": 7.721,
  "final_energy_ha_per_atom": -0.1721,
  "lattice": [[6.554, -0.644, -0.383], [5.747, 3.217, -0.383], [5.747, 1.202, 3.008]],
  "species": ["Cr", "Br", "Br", "Co"],
  "fractional_positions": [[0.750, 0.750, 0.750], [0.992, 0.992, 0.992], [0.508, 0.508, 0.508], [0.250, 0.250, 0.250]]
}

---

5.
{
  "formula": "CrCo2Br",
  "functional": "GGA-PBE",
  "state": "optimized geometry",
  "space_group": "P3m1 (156)",
  "raw_formation_energy_kcal_per_mol_atoms": 11.301,
  "final_energy_ha_per_atom": -0.2163,
  "lattice": [[-0.270, -1.607, 3.225], [2.934, -1.429, 1.551], [1.144, 5.333, 2.760]],
  "species": ["Cr", "Co", "Co", "Br"],
  "fractional_positions": [[0.458, 0.458, 0.555], [0.792, 0.792, 0.775], [0.125, 0.125, 0.883], [0.125, 0.125, 0.287]]
}

---

6.
{
  "formula": "CrCo4Br",
  "functional": "GGA-PBE",
  "state": "optimized geometry",
  "space_group": "F-43m (216)",
  "raw_formation_energy_kcal_per_mol_atoms": 15.699,
  "final_energy_ha_per_atom": -0.2183,
  "lattice": [[0.000, 3.451, 3.451], [3.451, 0.000, 3.451], [3.451, 3.451, 0.000]],
  "species": ["Br", "Co", "Co", "Co", "Co", "Cr"],
  "fractional_positions": [[0.000, 0.000, 0.000], [0.376, 0.376, 0.376], [0.376, 0.872, 0.376], [0.376, 0.376, 0.872], [0.872, 0.376, 0.376], [0.750, 0.750, 0.750]]
}

---

7.
{
  "formula": "CrCoBr2",
  "functional": "GGA-PBE",
  "state": "optimized geometry",
  "space_group": "Immm (71)",
  "raw_formation_energy_kcal_per_mol_atoms": 9.501,
  "final_energy_ha_per_atom": -0.1693,
  "lattice": [[-0.389, 2.132, -4.803], [0.262, -4.822, -2.110], [-3.285, 2.923, 2.904]],
  "species": ["Cr", "Co", "Br", "Br"],
  "fractional_positions": [[0.250, 0.750, 0.500], [0.750, 0.250, 0.500], [0.977, 0.977, 0.000], [0.523, 0.523, 0.000]]
}

---

8.
{
  "formula": "CrCoBr2",
  "functional": "GGA-PBE",
  "state": "optimized geometry",
  "space_group": "P4/mmm (123)",
  "raw_formation_energy_kcal_per_mol_atoms": 12.624,
  "final_energy_ha_per_atom": -0.1643,
  "lattice": [[3.370, 0.000, 0.000], [0.000, 4.756, 0.000], [0.000, 0.000, 4.756]],
  "species": ["Cr", "Co", "Br", "Br"],
  "fractional_positions": [[0.500, 0.000, 0.500], [0.500, 0.500, 0.000], [0.000, 0.500, 0.500], [0.000, 0.000, 0.000]]
}

---

9.
{
  "formula": "CrCo2Br",
  "functional": "GGA-PBE",
  "state": "optimized geometry",
  "space_group": "Pmmm (47)",
  "raw_formation_energy_kcal_per_mol_atoms": 18.080,
  "final_energy_ha_per_atom": -0.2055,
  "lattice": [[-1.981, -1.624, -1.613], [2.633, 0.012, -3.246], [1.888, -3.809, 1.517]],
  "species": ["Co", "Co", "Br", "Cr"],
  "fractional_positions": [[0.500, 0.500, 0.000], [0.000, 0.000, 0.000], [0.000, 0.500, 0.500], [0.500, 0.000, 0.500]]
}

---

10.
{
  "formula": "CrCo2Br",
  "functional": "GGA-PBE",
  "state": "optimized geometry",
  "space_group": "Fm-3m (225)",
  "raw_formation_energy_kcal_per_mol_atoms": 24.999,
  "final_energy_ha_per_atom": -0.1945,
  "lattice": [[-2.014, -0.657, 3.628], [-4.199, -0.125, 0.079], [-1.981, -3.644, 0.673]],
  "species": ["Co", "Co", "Br", "Cr"],
  "fractional_positions": [[0.250, 0.250, 0.250], [0.750, 0.750, 0.750], [0.500, 0.500, 0.500], [0.000, 0.000, 0.000]]
}

---

11.
{
  "formula": "Cr3CoBr",
  "functional": "GGA-PBE",
  "state": "optimized geometry",
  "space_group": "Pm-3m (221)",
  "raw_formation_energy_kcal_per_mol_atoms": 25.144,
  "final_energy_ha_per_atom": -0.2366,
  "lattice": [[4.619, 0.000, 0.000], [0.000, 4.619, 0.000], [0.000, 0.000, 4.619]],
  "species": ["Br", "Cr", "Cr", "Cr", "Co"],
  "fractional_positions": [[0.500, 0.500, 0.500], [0.500, 0.000, 0.000], [0.000, 0.500, 0.000], [0.000, 0.000, 0.500], [0.000, 0.000, 0.000]]
}

---

12.
{
  "formula": "CrCo2Br",
  "functional": "GGA-PBE",
  "state": "optimized geometry",
  "space_group": "C2/m (12)",
  "raw_formation_energy_kcal_per_mol_atoms": 16.468,
  "final_energy_ha_per_atom": -0.2081,
  "lattice": [[-3.693, 0.073, -2.153], [-2.963, -2.703, -1.482], [-2.949, 0.112, 3.671]],
  "species": ["Co", "Co", "Cr", "Br"],
  "fractional_positions": [[0.487, 0.487, 0.544], [0.013, 0.013, 0.956], [0.750, 0.750, 0.750], [0.250, 0.250, 0.250]]
}

---

13.
{
  "formula": "CrCoBr2",
  "functional": "GGA-PBE",
  "state": "optimized geometry",
  "space_group": "C2/m (12)",
  "raw_formation_energy_kcal_per_mol_atoms": 1.907,
  "final_energy_ha_per_atom": -0.1814,
  "lattice": [[-4.589, 5.566, -2.153], [-6.847, 3.023, -0.810], [-0.506, 2.096, 3.116]],
  "species": ["Co", "Br", "Br", "Cr"],
  "fractional_positions": [[0.250, 0.250, 0.250], [0.377, 0.377, 0.622], [0.123, 0.123, 0.878], [0.750, 0.750, 0.750]]
}

---

14.
{
  "formula": "CrCoBr2",
  "functional": "GGA-PBE",
  "state": "optimized geometry",
  "space_group": "Pmmm (47)",
  "raw_formation_energy_kcal_per_mol_atoms": 10.140,
  "final_energy_ha_per_atom": -0.1683,
  "lattice": [[3.507, 0.000, 0.000], [0.000, 6.733, 0.000], [0.000, 0.000, 3.871]],
  "species": ["Br", "Br", "Cr", "Co"],
  "fractional_positions": [[0.500, 0.500, 0.000], [0.000, 0.000, 0.000], [0.000, 0.500, 0.500], [0.500, 0.000, 0.500]]
}

---

15.
{
  "formula": "Cr4CoBr",
  "functional": "GGA-PBE",
  "state": "optimized geometry",
  "space_group": "F-43m (216)",
  "raw_formation_energy_kcal_per_mol_atoms": 20.544,
  "final_energy_ha_per_atom": -0.2568,
  "lattice": [[4.089, -2.024, 1.534], [1.854, 1.252, 4.262], [-0.085, -3.114, 3.670]],
  "species": ["Cr", "Cr", "Cr", "Cr", "Br", "Co"],
  "fractional_positions": [[0.373, 0.373, 0.880], [0.373, 0.373, 0.373], [0.880, 0.373, 0.373], [0.373, 0.880, 0.373], [0.750, 0.750, 0.750], [0.000, 0.000, 0.000]]
}

---

16.
{
  "formula": "CrCo2Br",
  "functional": "GGA-PBE",
  "state": "optimized geometry",
  "space_group": "P4mm (99)",
  "raw_formation_energy_kcal_per_mol_atoms": 12.840,
  "final_energy_ha_per_atom": -0.2139,
  "lattice": [[3.055, 0.000, 0.000], [0.000, 3.055, 0.000], [0.000, 0.000, 6.882]],
  "species": ["Co", "Co", "Cr", "Br"],
  "fractional_positions": [[0.500, 0.500, 0.237], [0.000, 0.000, 0.090], [0.000, 0.000, 0.466], [0.500, 0.500, 0.707]]
}

---

17.
{
  "formula": "CrCoBr2",
  "functional": "GGA-PBE",
  "state": "optimized geometry",
  "space_group": "Cmmm (65)",
  "raw_formation_energy_kcal_per_mol_atoms": 9.548,
  "final_energy_ha_per_atom": -0.1692,
  "lattice": [[-3.595, 0.675, -1.171], [0.743, -1.058, 3.616], [0.682, 6.893, 1.876]],
  "species": ["Cr", "Br", "Br", "Co"],
  "fractional_positions": [[0.500, 0.500, 0.750], [0.000, 0.000, 0.486], [0.000, 0.000, 0.014], [0.500, 0.500, 0.250]]
}

---

18.
{
  "formula": "CrCo3Br",
  "functional": "GGA-PBE",
  "state": "optimized geometry",
  "space_group": "Pm-3m (221)",
  "raw_formation_energy_kcal_per_mol_atoms": 30.063,
  "final_energy_ha_per_atom": -0.1918,
  "lattice": [[4.293, 0.000, 0.000], [0.000, 4.293, 0.000], [0.000, 0.000, 4.293]],
  "species": ["Cr", "Co", "Co", "Co", "Br"],
  "fractional_positions": [[0.500, 0.500, 0.500], [0.000, 0.000, 0.500], [0.000, 0.500, 0.000], [0.500, 0.000, 0.000], [0.000, 0.000, 0.000]]
}

---

19.
{
  "formula": "CrCoBr2",
  "functional": "GGA-PBE",
  "state": "optimized geometry",
  "space_group": "I-42d (122)",
  "raw_formation_energy_kcal_per_mol_atoms": 6.953,
  "final_energy_ha_per_atom": -0.1734,
  "lattice": [[-3.857, -1.610, -4.169], [-3.523, -2.292, 4.144], [-6.350, 3.077, 0.507]],
  "species": ["Co", "Co", "Br", "Br", "Br", "Br", "Cr", "Cr"],
  "fractional_positions": [[0.750, 0.250, 0.500], [0.000, 0.000, 0.000], [0.375, 0.346, 0.750], [0.654, 0.125, 0.250], [0.875, 0.904, 0.750], [0.096, 0.625, 0.250], [0.500, 0.500, 0.000], [0.250, 0.750, 0.500]]
}

---

20.
{
  "formula": "CrCo2Br",
  "functional": "GGA-PBE",
  "state": "optimized geometry",
  "space_group": "Imm2 (44)",
  "raw_formation_energy_kcal_per_mol_atoms": 15.523,
  "final_energy_ha_per_atom": -0.2096,
  "lattice": [[-0.997, 3.652, -4.941], [-4.421, 0.432, -4.361], [1.288, -0.756, 6.042]],
  "species": ["Co", "Co", "Cr", "Br"],
  "fractional_positions": [[0.988, 0.988, 0.000], [0.656, 0.156, 0.500], [0.538, 0.538, 0.000], [0.318, 0.818, 0.500]]
}